# 1
The following is a PBE calculation of a relaxed structure of AgHg2, from Alexandria.

CIF file:
```
data_AgHg2
_cell_length_a 3.211
_cell_length_b 3.211
_cell_length_c 6.694
_cell_angle_alpha 95.47
_cell_angle_beta 95.30
_cell_angle_gamma 90.06
_space_group_name_H-M_alt 'P -1'
_space_group_IT_number 2
_space_group_name_Hall '-P 1'
loop_
_atom_site_label
_atom_site_type_symbol
_atom_site_fract_x
_atom_site_fract_y
_atom_site_fract_z
_atom_site_occupancy
Ag1 Ag 0.000 0.000 0.000 1
Hg1 Hg 0.409 0.407 0.698 1
```

- offset from the most stable computed form (meV/atom) = 29
- magnetization (μB/f.u.) = 0.00
- volume (Å³/cell) = 68.4
- ΔH_f (0 K) (eV per atom) = 0.081

***

# 2
The following is a PBE calculation of a relaxed structure of TbNd2Tm3Bi6, from Alexandria.

CIF file:
```
data_TbNd2Tm3Bi6
_cell_length_a 19.614
_cell_length_b 4.505
_cell_length_c 9.001
_cell_angle_alpha 90.00
_cell_angle_beta 103.12
_cell_angle_gamma 90.00
_space_group_name_H-M_alt 'C 1 2/m 1'
_space_group_IT_number 12
_space_group_name_Hall '-C 2y'
loop_
_atom_site_label
_atom_site_type_symbol
_atom_site_fract_x
_atom_site_fract_y
_atom_site_fract_z
_atom_site_occupancy
Tb1 Tb 0.000 0.000 0.000 1
Nd1 Nd 0.166 0.500 0.332 1
Tm1 Tm 0.000 0.000 0.500 1
Tm2 Tm 0.168 0.500 0.834 1
Bi1 Bi 0.003 0.500 0.749 1
Bi2 Bi 0.164 0.000 0.590 1
Bi3 Bi 0.167 0.000 0.075 1
```

- magnetization (μB/f.u.) = 0.00
- volume (Å³/cell) = 774.6
- ΔH_f (0 K) (eV per atom) = -0.850

***

Number 1: mass density 12.356 g/cm³. Number 2: mass density 9.467 g/cm³.